(1)
Compound: MnHgP2Cl
Source: Alexandria
Functional: GGA-PBE
Structure: optimized geometry

Computed properties:
Offset from the most stable computed form ... 0.8499 eV per atom
Total magnetization ... 3.80 μB/cell
Mass density ... 4.39 Mg/m³

Cell: 4.9573 4.9573 5.4346 Å, 90.00 90.00 90.00°
With the nearest neighbours (Å) after each atom.
Space group P4/mmm (No. 123)
Asymmetric unit:
Mn (0.0000, 0.0000, 0.0000)  4 Cl 3.51, 8 P 3.68
Hg (0.5000, 0.5000, 0.5000)  4 P 2.48, 2 Cl 2.72
P (0.0000, 0.5000, 0.5000)  2 Hg 2.48
Cl (0.5000, 0.5000, 0.0000)  2 Hg 2.72


(2)
Compound: La6CdAu5
Source: Alexandria
Functional: GGA-PBE
Structure: optimized geometry

Computed properties:
Formation energy from the elements ... -0.7045 eV per atom
Total magnetization ... 0.00 μB/cell
Mass density ... 9.70 Mg/m³

Cell: 5.3697 16.2603 7.5710 Å, 90.00 90.00 90.00°
With the nearest neighbours (Å) after each atom.
Space group Cmmm (No. 65)
Asymmetric unit:
La (0.0000, 0.0000, 0.2360)  6 Au 3.19-3.26, 2 Cd 3.35
La (0.0000, 0.3285, 0.2490)  7 Au 3.23-3.43, 1 Cd 3.37
Cd (0.0000, 0.5000, 0.5000)  8 La 3.35-3.37, 4 Au 3.66
Au (0.0000, 0.1528, 0.5000)  8 La 3.19-3.43
Au (0.0000, 0.1674, 0.0000)  8 La 3.23-3.28
Au (0.0000, 0.5000, 0.0000)  8 La 3.23-3.37


(3)
Compound: Ba2LaGaTe5
Source: Alexandria
Functional: GGA-PBE
Structure: optimized geometry

Computed properties:
Electronic total energy ... -4.394 eV per atom
Total magnetization ... 0.00 μB/cell
Mass density ... 5.44 Mg/m³

Cell: 4.5897 20.8528 14.3074 Å, 90.00 90.00 90.00°
With the nearest neighbours (Å) after each atom.
Space group Cmc2_1 (No. 36)
Asymmetric unit:
Ba (0.0000, 0.1197, 0.0000)  7 Te 3.47-3.69
Ba (0.0000, 0.1221, 0.6424)  6 Te 3.48-3.57
La (0.0000, 0.2037, 0.3396)  6 Te 3.14-3.37
Ga (0.0000, 0.4397, 0.7424)  4 Te 2.62-2.79
Te (0.0000, 0.0423, 0.3496)  2 Ga 2.79
Te (0.0000, 0.2964, 0.9928)  2 La 3.17
Te (0.0000, 0.3162, 0.6790)  1 Ga 2.73
Te (0.0000, 0.3539, 0.3223)  1 La 3.14, 4 Ba 3.47-3.48
Te (0.0000, 0.4997, 0.0823)  1 Ga 2.62